A relaxed structure of Cu3NiN, computed with GGA-PBE.

The structure belongs to space group Pm-3m (No. 221); the cell edges are 4.2991, 4.2991 and 4.2991 Å and the angles 90.00°, 90.00° and 90.00°. The distinct sites, in fractional coordinates, are Cu at (0.0000, 0.0000, 0.5000), Ni at (0.0000, 0.0000, 0.0000) and N at (0.5000, 0.5000, 0.5000).

The calculation puts the calculated density at 5.5 g/cm3. The value obtained for the raw total energy is -16.664 eV for the cell shown. The calculation puts the uncorrected formation energy at 1946 meV/atom. The volume comes out at 15.89 Å³/atom.